Record 1
Entry from Alexandria: a relaxed structure of CsRb2TaBr6 (PBE-GGA).

Unit cell a=8.4799 b=8.4799 c=8.4799 alpha=60.00 beta=60.00 gamma=60.00
Sites, in units of the cell vectors:
Cs 0.0000 0.0000 0.0000
Rb 0.2500 0.2500 0.2500
Rb 0.7500 0.7500 0.7500
Ta 0.5000 0.5000 0.5000
Br 0.2809 0.2809 0.7191
Br 0.2809 0.7191 0.2809
Br 0.2809 0.7191 0.7191
Br 0.7191 0.2809 0.2809
Br 0.7191 0.2809 0.7191
Br 0.7191 0.7191 0.2809

Output
DOS at the Fermi energy in states/eV/atom: 1.38
SG: Fm-3m (225)
Energy relative to the elements, uncorrected in eV/atom: -1.240
E in eV per atom: -3.708

---

Record 2
Entry from Alexandria: a relaxed structure of CeBr2Cl6 (PBE-GGA).

Unit cell a=9.8301 b=9.8301 c=7.5107 alpha=96.18 beta=96.18 gamma=82.88
Sites, in units of the cell vectors:
Ce 0.0830 0.9170 0.7500
Ce 0.9170 0.0830 0.2500
Br 0.3590 0.3592 0.3337
Br 0.3592 0.3590 0.8337
Br 0.6408 0.6410 0.1663
Br 0.6410 0.6408 0.6663
Cl 0.0184 0.1627 0.9559
Cl 0.0928 0.6742 0.6095
Cl 0.1627 0.0184 0.4559
Cl 0.2436 0.4742 0.0836
Cl 0.3258 0.9072 0.8905
Cl 0.4742 0.2436 0.5836
Cl 0.5258 0.7564 0.4164
Cl 0.6742 0.0928 0.1095
Cl 0.7564 0.5258 0.9164
Cl 0.8373 0.9816 0.5441
Cl 0.9072 0.3258 0.3905
Cl 0.9816 0.8373 0.0441

Output
DOS at the Fermi energy in states/eV/atom: 0.33
SG: C2/c (15)
Energy relative to the elements, uncorrected in eV/atom: -1.065
E in eV per atom: -3.327